{
  "formula": "Sm5Si2As2",
  "functional": "PBE-GGA",
  "state": "optimized geometry",
  "spacegroup": "Cmce (64)",
  "dos_ef_per_ev_atom": 0.818,
  "magnetic_moment_mub_per_cell": 0.000,
  "e_form_raw_ev_per_atom": -1.04,
  "e_tot_ev_per_cell": -106.27,
  "cell": [[7.303, 0.000, 2.651], [0.000, 7.839, 0.000], [1.112, 0.000, 8.323]],
  "species": ["Si", "Si", "Si", "Si", "As", "As", "As", "As", "Sm", "Sm", "Sm", "Sm", "Sm", "Sm", "Sm", "Sm", "Sm", "Sm"],
  "frac_coords": [[0.883, 0.617, 0.000], [0.383, 0.883, 0.000], [0.617, 0.117, 0.000], [0.117, 0.383, 0.000], [0.798, 0.000, 0.404], [0.202, 0.000, 0.596], [0.298, 0.500, 0.404], [0.702, 0.500, 0.596], [0.537, 0.831, 0.274], [0.689, 0.331, 0.274], [0.811, 0.831, 0.726], [0.000, 0.000, 0.000], [0.311, 0.669, 0.726], [0.037, 0.669, 0.274], [0.500, 0.500, 0.000], [0.189, 0.169, 0.274], [0.463, 0.169, 0.726], [0.963, 0.331, 0.726]]
}